Entry 1:
EuThRu2 | GGA-PBE | relaxed

```
EuThRu2
1.0
3.520 0.000 0.000
0.000 3.520 0.000
0.000 0.000 7.129
Eu Th Ru
1 1 2
Direct
0.000 0.000 0.000 Eu
0.000 0.000 0.500 Th
0.500 0.500 0.281 Ru
0.500 0.500 0.719 Ru
```

## Properties
ΔE_f   -0.147 eV per atom
Magnetization   6.7 μB per formula unit
DOS at the Fermi energy   11.465 states/eV/f.u.
Relative energy among the computed polymorphs   0.00 kcal/mol of atoms
Electronic total energy   -9.208 eV/atom
Volume   88 Å³ per cell


Entry 2:
BaNaIn2Au4 | GGA-PBE | relaxed

```
BaNaIn2Au4
1.0
2.415 1.394 9.625
-2.415 1.394 9.625
0.000 -2.788 9.625
Ba Na In Au
1 1 2 4
Direct
0.000 0.000 0.000 Ba
0.500 0.500 0.500 Na
0.235 0.235 0.235 In
0.765 0.765 0.765 In
0.130 0.130 0.130 Au
0.401 0.401 0.401 Au
0.599 0.599 0.599 Au
0.870 0.870 0.870 Au
```

## Properties
ΔE_f   -0.415 eV per atom
Magnetization   0.0 μB per formula unit
DOS at the Fermi energy   1.859 states/eV/f.u.
Electronic total energy   -3.144 eV/atom
Volume   194 Å³ per cell


Entry 3:
LiReSi2 | GGA-PBE | relaxed

```
LiReSi2
1.0
2.755 -3.965 0.000
2.755 3.965 0.000
-1.097 0.000 2.502
Li Re Si
1 1 2
Direct
0.000 0.000 0.000 Li
0.500 0.500 0.000 Re
0.000 0.500 0.500 Si
0.500 0.000 0.500 Si
```

## Properties
Magnetization   0.0 μB per formula unit
DOS at the Fermi energy   2.166 states/eV/f.u.
Relative energy among the computed polymorphs   6.08 kcal/mol of atoms
Electronic total energy   -6.187 eV/atom
Volume   55 Å³ per cell


Entry 4:
Tb2PPt6 | GGA-PBE | relaxed

```
Tb2PPt6
1.0
4.872 -2.823 0.000
4.872 2.823 0.000
-1.404 0.000 5.860
Tb P Pt
2 1 6
Direct
0.142 0.142 0.351 Tb
0.858 0.858 0.649 Tb
0.500 0.500 0.500 P
0.115 0.622 0.195 Pt
0.374 0.374 0.789 Pt
0.378 0.885 0.805 Pt
0.622 0.115 0.195 Pt
0.626 0.626 0.211 Pt
0.885 0.378 0.805 Pt
```

## Properties
ΔE_f   -0.992 eV per atom
Magnetization   0.0 μB per formula unit
DOS at the Fermi energy   3.979 states/eV/f.u.
Electronic total energy   -6.649 eV/atom
Volume   161 Å³ per cell


Entry 5:
KBaIn2 | GGA-PBE | relaxed

```
KBaIn2
1.0
2.001 1.155 11.556
-2.001 1.155 11.556
0.000 -2.310 11.556
K Ba In
1 1 2
Direct
0.000 0.000 0.000 K
0.500 0.500 0.500 Ba
0.248 0.248 0.248 In
0.752 0.752 0.752 In
```

## Properties
ΔE_f   -0.011 eV per atom
Magnetization   0.0 μB per formula unit
DOS at the Fermi energy   4.176 states/eV/f.u.
Relative energy among the computed polymorphs   4.93 kcal/mol of atoms
Electronic total energy   -2.136 eV/atom
Volume   160 Å³ per cell


Entry 6:
BaLaAu2 | GGA-PBE | relaxed

```
BaLaAu2
1.0
-4.159 4.159 4.103
4.159 -4.159 4.103
4.159 4.159 -4.103
Ba La Au
2 2 4
Direct
0.000 0.000 0.000 Ba
0.750 0.250 0.500 Ba
0.250 0.750 0.500 La
0.500 0.500 0.000 La
0.155 0.625 0.030 Au
0.375 0.405 0.530 Au
0.595 0.125 0.970 Au
0.875 0.845 0.470 Au
```

## Properties
ΔE_f   -0.454 eV per atom
Magnetization   0.0 μB per formula unit
DOS at the Fermi energy   3.044 states/eV/f.u.
Electronic total energy   -3.805 eV/atom
Volume   284 Å³ per cell


Entry 7:
Sn2HgTe | GGA-PBE | relaxed

```
Sn2HgTe
1.0
-3.347 3.347 6.808
3.347 -3.347 6.808
3.347 3.347 -6.808
Sn Hg Te
4 2 2
Direct
0.100 0.625 0.975 Sn
0.375 0.350 0.475 Sn
0.650 0.125 0.025 Sn
0.875 0.900 0.525 Sn
0.000 0.000 0.000 Hg
0.750 0.250 0.500 Hg
0.250 0.750 0.500 Te
0.500 0.500 0.000 Te
```

## Properties
Magnetization   0.0 μB per formula unit
DOS at the Fermi energy   0.316 states/eV/f.u.
Relative energy among the computed polymorphs   1.65 kcal/mol of atoms
Electronic total energy   -2.805 eV/atom
Volume   305 Å³ per cell


Entry 8:
In2Ga2Cl5 | GGA-PBE | relaxed

```
In2Ga2Cl5
1.0
8.639 -2.649 0.000
8.639 2.649 0.000
-0.933 0.000 6.029
In Ga Cl
2 2 5
Direct
0.077 0.077 0.350 In
0.923 0.923 0.650 In
0.349 0.349 0.063 Ga
0.651 0.651 0.937 Ga
0.167 0.167 0.976 Cl
0.350 0.350 0.469 Cl
0.500 0.500 0.000 Cl
0.650 0.650 0.531 Cl
0.833 0.833 0.024 Cl
```

## Properties
Magnetization   0.0 μB per formula unit
DOS at the Fermi energy   1.629 states/eV/f.u.
Electronic total energy   -3.049 eV/atom
Volume   276 Å³ per cell